1.
Material: La2PrZrAs4
Method: DFT, PBE-GGA
State: relaxed

abc: 4.209 7.299 7.322
angles: 109.18 90.00 90.00
Positions (direct):
As 0.500 0.770 0.771
As 0.000 0.760 0.237
As 0.000 0.240 0.763
As 0.500 0.230 0.229
Zr 0.000 0.000 0.000
Pr 0.500 0.500 0.000
La 0.500 0.000 0.500
La 0.000 0.500 0.500

## Properties
Crystal system   monoclinic
DOS(E_F)   0.188 states/eV/atom
Energy of formation from the pure elements   -1.417 eV per atom
Total moment   0.00 μB per cell



2.
Material: Tm2Sc3Sb2
Method: DFT, PBE-GGA
State: relaxed

abc: 4.154 6.093 8.020
angles: 108.74 90.00 109.93
Positions (direct):
Tm 0.875 0.750 0.227
Tm 0.125 0.250 0.773
Sc 0.500 0.000 0.000
Sc 0.626 0.251 0.444
Sc 0.374 0.749 0.556
Sb 0.168 0.337 0.200
Sb 0.832 0.663 0.800

## Properties
Crystal system   monoclinic
DOS(E_F)   1.090 states/eV/atom
Uncorrected formation energy   -0.62 eV per atom
Total moment   0.00 μB per cell



3.
Material: Th2UP3Rh4
Method: DFT, PBE-GGA
State: relaxed

abc: 4.072 4.072 11.069
angles: 90.00 90.00 90.00
Each line ends with the local moment (μB).
Positions (direct):
Rh 0.500 0.500 0.000  0.05
Rh 0.000 0.500 0.337  -0.04
Rh 0.500 0.000 0.663  -0.04
Rh 0.000 0.000 0.000  0.04
P 0.500 0.000 0.876  0.01
P 0.000 0.500 0.124  0.01
P 0.000 0.000 0.500  -0.04
U 0.500 0.500 0.500  1.94
Th 0.000 0.500 0.774  0.07
Th 0.500 0.000 0.226  0.07

## Properties
Crystal system   tetragonal
DOS(E_F)   1.159 states/eV/atom
Energy of formation from the pure elements   -0.973 eV per atom
Total moment   2.42 μB per cell



Q: Which of these has the highest DOS(E_F)?
A: Th2UP3Rh4